VASP calculation (GGA-PBE) on crystalline SiB2Rh5 at its relaxed geometry.

Density: 9467 kg/m³
Formation energy from raw total energies: -2.6 eV/f.u.
Uncorrected energy: -58.183 eV/f.u.

Cell: 3.1032 5.4800 11.6395 Å, 90.00 90.00 90.00°
Space group Immm (No. 71)
Inequivalent atoms, fractional coordinates:
Si (0.0000, 0.0000, 0.0000)
B (0.0000, 0.5000, 0.2015)
Rh (0.0000, 0.2503, 0.3504)
Rh (0.0000, 0.5000, 0.0000)